# 1
Below is a relaxed structure of PmThMnCu, with properties calculated at the PBE level.

Output
- E_tot (eV per atom) = -6.252
- D(E_F) (states/eV/cell) = 6.2
- space group = F-43m (216)

Cell lengths 5.0454, 5.0454, 5.0454 Å; angles 60.00, 60.00, 60.00 degrees
Closest atoms and distances in Å follow each position.
Sites, in units of the cell vectors:
Pm: 0.0000 0.0000 0.0000  4 Mn 3.09, 4 Cu 3.09
Th: 0.5000 0.5000 0.5000  4 Mn 3.09, 4 Cu 3.09
Mn: 0.7500 0.7500 0.7500  4 Th 3.09, 4 Pm 3.09
Cu: 0.2500 0.2500 0.2500  4 Th 3.09, 4 Pm 3.09



# 2
Below is a relaxed structure of PmTmMnCu, with properties calculated at the PBE level.

Output
- E_tot (eV per atom) = -5.570
- D(E_F) (states/eV/cell) = 4.3
- space group = F-43m (216)

Cell lengths 4.9854, 4.9854, 4.9854 Å; angles 60.00, 60.00, 60.00 degrees
Closest atoms and distances in Å follow each position.
Sites, in units of the cell vectors:
Pm: 0.0000 0.0000 0.0000  4 Mn 3.05, 4 Cu 3.05
Tm: 0.5000 0.5000 0.5000  4 Mn 3.05, 4 Cu 3.05
Mn: 0.7500 0.7500 0.7500  4 Tm 3.05, 4 Pm 3.05
Cu: 0.2500 0.2500 0.2500  4 Tm 3.05, 4 Pm 3.05



# 3
Below is a relaxed structure of PrMnCuPt3, with properties calculated at the PBE level.

Output
- E_tot (eV per atom) = -6.378
- D(E_F) (states/eV/cell) = 5.4
- space group = Cmcm (63)

Cell lengths 7.2384, 7.2384, 5.7566 Å; angles 90.00, 90.00, 133.29 degrees
Closest atoms and distances in Å follow each position.
Sites, in units of the cell vectors:
Pr: 0.1801 0.8199 0.7500  1 Cu 2.72, 2 Pt 2.87, 2 Mn 2.96
Pr: 0.8199 0.1801 0.2500  1 Cu 2.72, 2 Pt 2.87, 2 Mn 2.96
Mn: 0.1280 0.8720 0.2500  5 Pt 2.62-2.64, 2 Cu 2.87
Mn: 0.8720 0.1280 0.7500  5 Pt 2.62-2.64, 2 Cu 2.87
Cu: 0.3846 0.6154 0.7500  4 Pt 2.55, 1 Pr 2.72
Cu: 0.6154 0.3846 0.2500  4 Pt 2.55, 1 Pr 2.72
Pt: 0.2474 0.2474 0.0000  2 Cu 2.55, 2 Mn 2.64, 1 Pt 2.84
Pt: 0.2474 0.2474 0.5000  2 Cu 2.55, 2 Mn 2.64, 1 Pt 2.84
Pt: 0.3252 0.6748 0.2500  1 Mn 2.62, 2 Pr 2.87
Pt: 0.6748 0.3252 0.7500  1 Mn 2.62, 2 Pr 2.87
Pt: 0.7526 0.7526 0.0000  2 Cu 2.55, 2 Mn 2.64, 1 Pt 2.84
Pt: 0.7526 0.7526 0.5000  2 Cu 2.55, 2 Mn 2.64, 1 Pt 2.84



# 4
Below is a relaxed structure of Pr2MnCuS5, with properties calculated at the PBE level.

Output
- E_tot (eV per atom) = -6.138
- D(E_F) (states/eV/cell) = 5.2
- formation energy from raw total energies (kJ/mol of formula units) = -1136
- space group = Cmc2_1 (36)

Cell lengths 8.5094, 8.5094, 11.3556 Å; angles 90.00, 90.00, 153.59 degrees
Closest atoms and distances in Å follow each position.
Sites, in units of the cell vectors:
Pr: 0.1138 0.8862 0.5000  7 S 2.88-3.00
Pr: 0.1283 0.8717 0.1114  8 S 2.88-3.06
Pr: 0.8717 0.1283 0.6114  8 S 2.88-3.06
Pr: 0.8862 0.1138 0.0000  7 S 2.88-3.00
Mn: 0.1991 0.8009 0.8207  4 S 2.34-2.55
Mn: 0.8009 0.1991 0.3207  4 S 2.34-2.55
Cu: 0.4321 0.5679 0.2568  4 S 2.27-2.38
Cu: 0.5679 0.4321 0.7568  4 S 2.27-2.38
S: 0.0604 0.9396 0.8608  2 Cu 2.28, 1 Mn 2.34
S: 0.2860 0.7140 0.4644  2 Mn 2.55
S: 0.3042 0.6958 0.1615  1 Cu 2.38, 2 Mn 2.66
S: 0.3483 0.6517 0.8087  1 Mn 2.48
S: 0.4988 0.5012 0.5839  1 Cu 2.27
S: 0.5012 0.4988 0.0839  1 Cu 2.27
S: 0.6517 0.3483 0.3087  1 Mn 2.48
S: 0.6958 0.3042 0.6615  1 Cu 2.38, 2 Mn 2.66
S: 0.7140 0.2860 0.9644  2 Mn 2.55
S: 0.9396 0.0604 0.3608  2 Cu 2.28, 1 Mn 2.34